#A
Compound: SrZn2SiRh
Source: Alexandria
Functional: PBE
Structure: optimized geometry

```
5
Lattice="-2.077 2.159 5.344 2.077 -2.159 5.344 2.077 2.159 -5.344" Properties=species:S:1:pos:R:3 pbc="T T T"
Sr 0.000 0.000 0.000
Zn 0.000 0.000 6.612
Zn 0.000 2.159 2.730
Si 0.000 0.000 3.990
Rh 2.077 0.000 2.789
```

***

#B
Compound: SrZn2SiRh
Source: Alexandria
Functional: PBE
Structure: optimized geometry

```
5
Lattice="4.865 0.000 0.000 0.000 4.865 0.000 0.000 0.000 4.589" Properties=species:S:1:pos:R:3 pbc="T T T"
Sr 0.000 0.000 0.000
Zn 0.000 2.432 2.294
Zn 2.432 0.000 2.294
Si 2.432 2.432 0.000
Rh 2.432 2.432 2.294
```

***

Which of them is the most stable? Correct choice: #A.

***

#A
Compound: TaSiRh3
Source: Alexandria
Functional: PBE
Structure: optimized geometry

```
5
Lattice="4.359 0.000 0.000 0.000 4.359 0.000 0.000 0.000 4.359" Properties=species:S:1:pos:R:3 pbc="T T T"
Ta 0.000 0.000 0.000
Si 2.179 2.179 2.179
Rh 0.000 2.179 2.179
Rh 2.179 0.000 2.179
Rh 2.179 2.179 0.000
```

***

#B
Compound: TaSiRh3
Source: Alexandria
Functional: PBE
Structure: optimized geometry

```
5
Lattice="4.717 0.000 0.000 0.000 4.717 0.000 0.000 0.000 4.717" Properties=species:S:1:pos:R:3 pbc="T T T"
Ta 0.000 0.000 0.000
Si 2.359 2.359 2.359
Rh 0.000 0.000 2.359
Rh 0.000 2.359 0.000
Rh 2.359 0.000 0.000
```

***

Which of them is the most stable? Correct choice: #A.

***

#A
Compound: Ta3SiRh
Source: Alexandria
Functional: PBE
Structure: optimized geometry

```
5
Lattice="4.583 0.000 0.000 0.000 4.583 0.000 0.000 0.000 4.583" Properties=species:S:1:pos:R:3 pbc="T T T"
Ta 0.000 0.000 2.291
Ta 0.000 2.291 0.000
Ta 2.291 0.000 0.000
Si 0.000 0.000 0.000
Rh 2.291 2.291 2.291
```

***

#B
Compound: Ta3SiRh
Source: Alexandria
Functional: PBE
Structure: optimized geometry

```
5
Lattice="4.772 0.000 0.000 0.000 4.772 0.000 0.000 0.000 4.772" Properties=species:S:1:pos:R:3 pbc="T T T"
Ta 0.000 0.000 2.386
Ta 0.000 2.386 0.000
Ta 2.386 0.000 0.000
Si 2.386 2.386 2.386
Rh 0.000 0.000 0.000
```

***

Which of them is the most stable? Correct choice: #A.

***

#A
Compound: TbSi3Rh3
Source: Alexandria
Functional: PBE
Structure: optimized geometry

```
14
Lattice="3.355 1.937 6.626 -3.355 1.937 6.626 0.000 -3.874 6.626" Properties=species:S:1:pos:R:3 pbc="T T T"
Tb 0.000 0.000 3.334
Tb 0.000 0.000 16.545
Si -0.855 -1.693 8.105
Si -1.893 -0.106 11.774
Si -1.039 1.587 8.105
Si 1.039 -1.587 11.774
Si 1.893 0.106 8.105
Si 0.855 1.693 11.774
Rh -2.474 -0.131 7.583
Rh -1.124 -2.208 12.297
Rh 1.350 -2.077 7.583
Rh -1.350 2.077 12.297
Rh 1.124 2.208 7.583
Rh 2.474 0.131 12.297
```

***

#B
Compound: TbSi3Rh3
Source: Alexandria
Functional: PBE
Structure: optimized geometry

```
14
Lattice="8.421 0.000 0.000 0.000 4.094 0.000 -4.210 0.000 7.309" Properties=species:S:1:pos:R:3 pbc="T T T"
Tb 0.000 1.024 2.433
Tb 4.211 3.071 4.876
Si -3.386 1.024 6.906
Si -1.345 3.071 4.164
Si 2.168 3.071 2.743
Si 2.044 1.024 4.566
Si 5.556 1.024 3.144
Si 7.597 3.071 0.403
Rh -1.727 1.024 5.272
Rh 1.588 3.071 0.489
Rh 0.895 3.071 4.794
Rh 3.316 1.024 2.515
Rh 2.624 1.024 6.820
Rh 5.938 3.071 2.037
```

***

#C
Compound: TbSi3Rh3
Source: Alexandria
Functional: PBE
Structure: optimized geometry

```
14
Lattice="6.482 0.000 0.000 0.000 6.482 0.000 0.000 0.000 6.482" Properties=species:S:1:pos:R:3 pbc="T T T"
Tb 0.000 0.000 0.000
Tb 3.241 3.241 3.241
Si 0.000 1.620 3.241
Si 0.000 4.861 3.241
Si 1.620 3.241 0.000
Si 3.241 0.000 1.620
Si 3.241 0.000 4.861
Si 4.861 3.241 0.000
Rh 0.000 3.241 1.620
Rh 0.000 3.241 4.861
Rh 1.620 0.000 3.241
Rh 3.241 1.620 0.000
Rh 3.241 4.861 0.000
Rh 4.861 0.000 3.241
```

***

Which of them is the most stable? Correct choice: #B.

***

#A
Compound: TbSi2Rh3
Source: Alexandria
Functional: PBE
Structure: optimized geometry

```
12
Lattice="4.583 -3.979 0.000 4.583 3.979 0.000 0.000 0.000 5.382" Properties=species:S:1:pos:R:3 pbc="T T T"
Tb 4.583 2.655 4.037
Tb 4.583 -2.655 1.346
Si 2.542 0.000 0.000
Si 2.542 0.000 2.691
Si 6.624 0.000 0.000
Si 6.624 0.000 2.691
Rh 2.975 2.324 1.346
Rh 6.191 2.324 1.346
Rh 4.583 0.131 1.346
Rh 4.583 -0.131 4.037
Rh 2.975 -2.324 4.037
Rh 6.191 -2.324 4.037
```

***

#B
Compound: TbSi2Rh3
Source: Alexandria
Functional: PBE
Structure: optimized geometry

```
6
Lattice="5.538 0.000 0.000 -2.769 4.796 0.000 0.000 0.000 3.664" Properties=species:S:1:pos:R:3 pbc="T T T"
Tb 0.000 0.000 0.000
Si 0.000 3.197 0.000
Si 2.769 1.599 0.000
Rh -1.384 2.398 1.832
Rh 2.769 0.000 1.832
Rh 1.384 2.398 1.832
```

***

Which of them is the most stable? Correct choice: #B.

***

#A
Compound: Si2Tc2Rh
Source: Alexandria
Functional: PBE
Structure: optimized geometry

```
5
Lattice="-1.919 1.919 5.210 1.919 -1.919 5.210 1.919 1.919 -5.210" Properties=species:S:1:pos:R:3 pbc="T T T"
Si 0.000 0.000 1.115
Si 0.000 0.000 9.305
Tc 1.919 0.000 2.605
Tc 0.000 1.919 2.605
Rh 0.000 0.000 5.210
```

***

#B
Compound: Si2Tc2Rh
Source: Alexandria
Functional: PBE
Structure: optimized geometry

```
10
Lattice="6.686 0.000 0.000 0.000 6.686 0.000 0.000 0.000 3.065" Properties=species:S:1:pos:R:3 pbc="T T T"
Si 0.931 2.412 0.000
Si 2.412 5.755 0.000
Si 4.274 0.931 0.000
Si 5.755 4.274 0.000
Tc 1.055 4.398 1.533
Tc 2.288 1.055 1.533
Tc 4.398 5.631 1.533
Tc 5.631 2.288 1.533
Rh 0.000 0.000 0.000
Rh 3.343 3.343 0.000
```

***

Which of them is the most stable? Correct choice: #B.

***

#A
Compound: SiTcRh
Source: Alexandria
Functional: PBE
Structure: optimized geometry

```
3
Lattice="-1.379 1.917 3.910 1.379 -1.917 3.910 1.379 1.917 -3.910" Properties=species:S:1:pos:R:3 pbc="T T T"
Si 0.000 0.000 0.000
Tc 0.000 0.000 2.606
Rh 0.000 0.000 5.220
```

***

#B
Compound: SiTcRh
Source: Alexandria
Functional: PBE
Structure: optimized geometry

```
3
Lattice="4.171 0.000 0.000 -2.085 3.612 0.000 0.000 0.000 2.737" Properties=species:S:1:pos:R:3 pbc="T T T"
Si 0.000 0.000 0.000
Tc 0.000 2.408 1.080
Rh 2.085 1.204 2.436
```

***

Which of them is the most stable? Correct choice: #B.

***

#A
Compound: SiTcRh
Source: Alexandria
Functional: PBE
Structure: optimized geometry

```
12
Lattice="7.631 0.000 0.000 0.000 4.167 0.000 0.000 0.000 5.731" Properties=species:S:1:pos:R:3 pbc="T T T"
Si 1.126 1.042 1.104
Si 2.689 3.125 3.970
Si 4.941 1.042 1.761
Si 6.505 3.125 4.627
Tc 0.600 3.125 2.639
Tc 3.216 1.042 5.505
Tc 4.415 3.125 0.226
Tc 7.031 1.042 3.092
Rh 1.018 3.125 5.637
Rh 2.797 1.042 2.771
Rh 4.834 3.125 2.960
Rh 6.612 1.042 0.095
```

***

#B
Compound: SiTcRh
Source: Alexandria
Functional: PBE
Structure: optimized geometry

```
3
Lattice="-1.449 1.449 4.828 1.449 -1.449 4.828 1.449 1.449 -4.828" Properties=species:S:1:pos:R:3 pbc="T T T"
Si 0.000 0.000 0.000
Tc 0.000 0.000 3.390
Rh 0.000 0.000 6.279
```

***

Which of them is the most stable? Correct choice: #B.